A plane-wave DFT calculation with GGA-PBE was carried out for crystalline TiP2PdCl at its relaxed geometry.

Cell: 4.646 4.646 4.731 Å, 90.00 90.00 90.00°
Positions (direct):
1 P 0.500 0.000 0.000
2 P 0.000 0.500 0.000
3 Ti 0.500 0.500 0.500
4 Cl 0.000 0.000 0.500
5 Pd 0.000 0.000 0.000

## Properties
Excess energy over the best structure of this formula in the dataset: 1.75 eV/f.u.
E: -4.62 eV/atom
E_form (uncorrected): 2.67 eV/f.u.

A plane-wave DFT calculation with GGA-PBE was carried out for crystalline TiPPdCl2 at its relaxed geometry.

Cell: 4.703 4.703 4.881 Å, 90.00 90.00 90.00°
Positions (direct):
1 Cl 0.500 0.000 0.000
2 Ti 0.500 0.500 0.500
3 Cl 0.000 0.500 0.000
4 Pd 0.000 0.000 0.000
5 P 0.000 0.000 0.500

## Properties
Excess energy over the best structure of this formula in the dataset: 2.47 eV/f.u.
E: -4.10 eV/atom
E_form (uncorrected): 1.71 eV/f.u.

A plane-wave DFT calculation with GGA-PBE was carried out for crystalline TiP2PdCl at its relaxed geometry.

Cell: 4.743 4.743 4.618 Å, 90.00 90.00 90.00°
Positions (direct):
1 Ti 0.000 0.000 0.000
2 P 0.000 0.500 0.000
3 Pd 0.500 0.500 0.500
4 Cl 0.000 0.000 0.500
5 P 0.500 0.000 0.000

## Properties
Excess energy over the best structure of this formula in the dataset: 0.00 eV/f.u.
E: -4.97 eV/atom
E_form (uncorrected): 0.92 eV/f.u.

A plane-wave DFT calculation with GGA-PBE was carried out for crystalline TlPPdCl2 at its relaxed geometry.

Cell: 5.308 5.308 4.496 Å, 90.00 90.00 90.00°
Positions (direct):
1 Tl 0.500 0.500 0.500
2 Cl 0.500 0.000 0.000
3 P 0.000 0.000 0.500
4 Cl 0.000 0.500 0.000
5 Pd 0.000 0.000 0.000

## Properties
Excess energy over the best structure of this formula in the dataset: 0.00 eV/f.u.
E: -3.48 eV/atom
E_form (uncorrected): -0.76 eV/f.u.

A plane-wave DFT calculation with GGA-PBE was carried out for crystalline TlPPdCl2 at its relaxed geometry.

Cell: 5.374 5.374 5.245 Å, 90.00 90.00 90.00°
Last column: magnetic moment on the atom in μB.
Positions (direct):
1 Tl 0.000 0.000 0.000  0.00
2 P 0.000 0.000 0.500  0.68
3 Cl 0.500 0.000 0.000  0.06
4 Pd 0.500 0.500 0.500  0.51
5 Cl 0.000 0.500 0.000  0.06

## Properties
Excess energy over the best structure of this formula in the dataset: 3.99 eV/f.u.
E: -2.69 eV/atom
E_form (uncorrected): 3.23 eV/f.u.

A plane-wave DFT calculation with GGA-PBE was carried out for crystalline VP2PdCl at its relaxed geometry.

Cell: 4.626 4.626 4.782 Å, 90.00 90.00 90.00°
Last column: magnetic moment on the atom in μB.
Positions (direct):
1 Cl 0.000 0.000 0.500  -0.01
2 Pd 0.000 0.000 0.000  -0.06
3 V 0.500 0.500 0.500  -0.01
4 P 0.500 0.000 0.000  -0.07
5 P 0.000 0.500 0.000  -0.07

## Properties
Excess energy over the best structure of this formula in the dataset: 3.08 eV/f.u.
E: -4.47 eV/atom
E_form (uncorrected): 4.62 eV/f.u.